Computed, not measured: crystalline YZnPt2 at its relaxed geometry at the PBE-GGA level of DFT.

Results
Calculated density in g/cm³: 12.38
ΔH_f (0 K) in eV/atom: -0.664
V in Å³/atom: 18.25

a = 4.6915 Å, b = 4.6915 Å, c = 4.6915 Å
α = 60.00°, β = 60.00°, γ = 60.00°
Last column: nearest neighbours and their distance in Å.
Sites, in units of the cell vectors:
Y  0.5000  0.5000  0.5000  4 Pt 2.87, 4 Zn 2.87
Pt  0.2500  0.2500  0.2500  4 Y 2.87, 4 Pt 2.87
Pt  0.0000  0.0000  0.0000  4 Pt 2.87, 4 Zn 2.87
Zn  0.7500  0.7500  0.7500  4 Pt 2.87, 4 Y 2.87


Computed, not measured: crystalline Mg4GeSb at its relaxed geometry at the PBE-GGA level of DFT.

Results
Uncorrected formation energy in eV/atom: -0.23
Calculated density in g/cm³: 3.29
V in Å³/atom: 24.55

a = 4.6597 Å, b = 4.6604 Å, c = 6.7821 Å
α = 89.97°, β = 90.00°, γ = 90.01°
Last column: nearest neighbours and their distance in Å.
Sites, in units of the cell vectors:
Mg  0.5013  0.9970  0.2715  2 Ge 2.79, 2 Sb 2.98, 1 Mg 3.07
Mg  0.0014  0.4974  0.7247  2 Ge 2.79, 2 Sb 2.98, 1 Mg 3.07
Mg  0.5013  0.9976  0.7248  2 Ge 2.79, 2 Sb 2.98, 1 Mg 3.07
Mg  0.0012  0.4972  0.2716  2 Ge 2.79, 2 Sb 2.98, 1 Mg 3.07
Ge  0.0013  0.9973  0.4981  8 Mg 2.79
Sb  0.5013  0.4973  0.9981  8 Mg 2.98


Computed, not measured: crystalline PaZn2AsO8 at its relaxed geometry at the PBE-GGA level of DFT.

Results
Uncorrected formation energy in eV/atom: -1.48
Calculated density in g/cm³: 6.26
V in Å³/atom: 12.48

a = 5.8260 Å, b = 5.8260 Å, c = 5.8260 Å
α = 113.93°, β = 113.93°, γ = 100.88°
Last column: nearest neighbours and their distance in Å.
Sites, in units of the cell vectors:
O  0.3019  0.5221  0.2201  1 As 1.82, 1 Zn 2.03
O  0.9182  0.6981  0.2201  1 As 1.82, 1 Zn 2.03
O  0.3019  0.0818  0.7799  1 As 1.82, 1 Zn 2.03
O  0.4779  0.6981  0.7799  1 As 1.82, 1 Zn 2.03
O  0.3642  0.0522  0.3120  1 Zn 1.89, 1 Pa 2.02
O  0.9478  0.2598  0.3120  1 Zn 1.89, 1 Pa 2.02
O  0.9478  0.6358  0.6880  1 Zn 1.89, 1 Pa 2.02
O  0.7402  0.0522  0.6880  1 Zn 1.89, 1 Pa 2.02
As  0.2500  0.7500  0.5000  4 O 1.82
Pa  0.0000  0.0000  0.0000  4 O 2.02
Zn  0.7500  0.2500  0.5000  4 O 1.89
Zn  0.5000  0.5000  0.0000  4 O 2.03


Computed, not measured: crystalline Ce2RhO at its relaxed geometry at the PBE-GGA level of DFT.

Results
Uncorrected formation energy in eV/atom: -1.43
Calculated density in g/cm³: 8.30
Energy relative to the lowest polymorph listed for this composition in meV per atom: 160
V in Å³/atom: 19.96

a = 3.6243 Å, b = 3.6243 Å, c = 7.3246 Å
α = 75.68°, β = 75.68°, γ = 60.00°
Last column: nearest neighbours and their distance in Å.
Sites, in units of the cell vectors:
Ce  0.2460  0.2460  0.2620  3 O 2.79, 3 Rh 2.83
Ce  0.0927  0.0927  0.7218  3 O 2.51
O  0.4916  0.4916  0.5252  6 Ce 2.51-2.79
Rh  0.6697  0.6697  0.9910  6 Ce 2.82-2.83


Number 1: Fermi-level density of states 1.681 states/eV per cell, calculated total energy -22.48 eV per cell. Number 2: Fermi-level density of states 2.324 states/eV per cell, calculated total energy -16.48 eV per cell. Number 3: Fermi-level density of states 6.215 states/eV per cell, calculated total energy -74.11 eV per cell. Number 4: Fermi-level density of states 7.597 states/eV per cell, calculated total energy -29.89 eV per cell.